Entry 1:
Compound: InFe2Ag
Source: the Alexandria database
Functional: SCAN
Structure: PBEsol geometry

Lattice parameters (Å, degrees): 4.379 4.379 4.379 60.00 60.00 60.00
Atoms (fractional coordinates):
Ag: 0.500 0.500 0.500
Fe: 0.000 0.000 0.000
Fe: 0.250 0.250 0.250
In: 0.750 0.750 0.750

Calculated volume = 14.84 A^3/atom
Total DFT energy (no corrections) = -25.044 eV per atom
Total moment = 5.40 μB per formula unit
Formation energy = 20.2 kJ/mol of atoms

---

Entry 2:
Compound: Be2NbAu
Source: the Alexandria database
Functional: SCAN
Structure: PBEsol geometry

Lattice parameters (Å, degrees): 5.274 5.274 5.274 105.40 105.40 117.97
Atoms (fractional coordinates):
Be: 0.625 0.649 0.524
Be: 0.125 0.101 0.476
Be: 0.899 0.375 0.024
Be: 0.351 0.875 0.976
Nb: 0.500 0.500 0.000
Nb: 0.750 0.250 0.500
Au: 0.000 0.000 0.000
Au: 0.250 0.750 0.500

Calculated volume = 13.88 A^3/atom
Energy relative to the lowest polymorph listed for this composition = 0.284 eV/atom
Total DFT energy (no corrections) = -27.589 eV per atom
Total moment = 0.00 μB per formula unit
Formation energy = 15.4 kJ/mol of atoms

---

Entry 3:
Compound: TlPbSCl2
Source: the Alexandria database
Functional: SCAN
Structure: PBEsol geometry

Lattice parameters (Å, degrees): 5.092 5.429 5.429 90.00 90.00 90.00
Atoms (fractional coordinates):
Pb: 0.000 0.000 0.000
Tl: 0.500 0.500 0.500
S: 0.500 0.000 0.000
Cl: 0.000 0.000 0.500
Cl: 0.000 0.500 0.000

Calculated volume = 30.02 A^3/atom
Total DFT energy (no corrections) = -35.385 eV per atom
Formation energy from raw total energies = -0.64 eV per atom
Total moment = 0.00 μB per formula unit

---

Entry 4:
Compound: ReNiOs2
Source: the Alexandria database
Functional: SCAN
Structure: PBEsol geometry

Lattice parameters (Å, degrees): 2.743 4.450 4.468 90.00 90.00 90.00
Atoms (fractional coordinates):
Ni: 0.000 0.500 0.500
Os: 0.000 0.000 0.000
Os: 0.500 0.000 0.500
Re: 0.500 0.500 0.000

Calculated volume = 13.63 A^3/atom
Energy relative to the lowest polymorph listed for this composition = 0.358 eV/atom
Total DFT energy (no corrections) = -57.286 eV per atom
Total moment = 0.00 μB per formula unit
Formation energy = 45.5 kJ/mol of atoms

---

Entry 5:
Compound: Y2ZrCo2
Source: the Alexandria database
Functional: SCAN
Structure: PBEsol geometry

Lattice parameters (Å, degrees): 4.481 6.584 6.584 90.00 90.00 90.00
Atoms (fractional coordinates):
Y: 0.500 0.178 0.678
Y: 0.500 0.678 0.822
Y: 0.500 0.822 0.322
Y: 0.500 0.322 0.178
Co: 0.000 0.382 0.882
Co: 0.000 0.882 0.618
Co: 0.000 0.618 0.118
Co: 0.000 0.118 0.382
Zr: 0.000 0.000 0.000
Zr: 0.000 0.500 0.500

Calculated volume = 19.42 A^3/atom
Total DFT energy (no corrections) = -24.261 eV per atom
Total moment = 0.00 μB per formula unit
Formation energy = -6.1 kJ/mol of atoms

---

Entry 6:
Compound: CrTcNF2
Source: the Alexandria database
Functional: SCAN
Structure: PBEsol geometry

Lattice parameters (Å, degrees): 3.907 3.907 3.824 90.00 90.00 90.00
Atoms (fractional coordinates):
Cr: 0.000 0.000 0.000
N: 0.000 0.000 0.500
Tc: 0.500 0.500 0.500
F: 0.000 0.500 0.000
F: 0.500 0.000 0.000

Calculated volume = 11.67 A^3/atom
Total DFT energy (no corrections) = -14.676 eV per atom
Formation energy from raw total energies = -0.71 eV per atom
Total moment = 7.52 μB per formula unit

---

Entry 7:
Compound: Al2SiHg
Source: the Alexandria database
Functional: SCAN
Structure: PBEsol geometry

Lattice parameters (Å, degrees): 2.860 4.982 4.982 90.00 90.00 90.00
Atoms (fractional coordinates):
Si: 0.500 0.000 0.000
Hg: 0.500 0.500 0.500
Al: 0.000 0.000 0.500
Al: 0.000 0.500 0.000

Calculated volume = 17.74 A^3/atom
Energy relative to the lowest polymorph listed for this composition = 0.157 eV/atom
Total DFT energy (no corrections) = -23.106 eV per atom
Formation energy from raw total energies = 0.32 eV per atom
Total moment = 0.00 μB per formula unit

---

Entry 8:
Compound: SrZr2In
Source: the Alexandria database
Functional: SCAN
Structure: PBEsol geometry

Lattice parameters (Å, degrees): 3.200 3.200 10.030 90.00 90.00 90.00
Atoms (fractional coordinates):
In: 0.500 0.500 0.000
Sr: 0.500 0.500 0.500
Zr: 0.000 0.000 0.795
Zr: 0.000 0.000 0.205

Calculated volume = 25.67 A^3/atom
Total DFT energy (no corrections) = -29.130 eV per atom
Total moment = 0.00 μB per formula unit
Formation energy = 13.0 kJ/mol of atoms

---

Entry 9:
Compound: BaCaMoF7
Source: the Alexandria database
Functional: SCAN
Structure: PBEsol geometry

Lattice parameters (Å, degrees): 5.688 9.588 10.879 90.00 90.00 90.84
Atoms (fractional coordinates):
Ba: 0.272 0.523 0.652
Ba: 0.728 0.977 0.152
Ba: 0.728 0.477 0.348
Ba: 0.272 0.023 0.848
Ca: 0.700 0.859 0.573
Ca: 0.300 0.641 0.073
Ca: 0.700 0.359 0.927
Ca: 0.300 0.141 0.427
Mo: 0.194 0.797 0.344
Mo: 0.806 0.203 0.656
Mo: 0.194 0.297 0.156
Mo: 0.806 0.703 0.844
F: 0.109 0.107 0.607
F: 0.343 0.398 0.009
F: 0.494 0.725 0.258
F: 0.506 0.275 0.742
F: 0.915 0.372 0.558
F: 0.291 0.481 0.236
F: 0.008 0.724 0.194
F: 0.085 0.128 0.058
F: 0.343 0.898 0.491
F: 0.506 0.775 0.758
F: 0.109 0.607 0.893
F: 0.891 0.893 0.393
F: 0.992 0.776 0.694
F: 0.411 0.854 0.019
F: 0.085 0.628 0.442
F: 0.915 0.872 0.942
F: 0.992 0.276 0.806
F: 0.891 0.393 0.107
F: 0.589 0.646 0.519
F: 0.657 0.602 0.991
F: 0.589 0.146 0.981
F: 0.008 0.224 0.306
F: 0.411 0.354 0.481
F: 0.709 0.019 0.736
F: 0.709 0.519 0.764
F: 0.291 0.981 0.264
F: 0.657 0.102 0.509
F: 0.494 0.225 0.242

Calculated volume = 14.83 A^3/atom
Total DFT energy (no corrections) = -14.384 eV per atom
Formation energy from raw total energies = -3.50 eV per atom
Total moment = 3.00 μB per formula unit

---

Entry 10:
Compound: Fe2MoIr
Source: the Alexandria database
Functional: SCAN
Structure: PBEsol geometry

Lattice parameters (Å, degrees): 2.650 3.632 5.240 90.00 90.00 90.00
Atoms (fractional coordinates):
Fe: 0.000 0.000 0.016
Fe: 0.500 0.500 0.233
Ir: 0.000 0.000 0.486
Mo: 0.500 0.500 0.765

Calculated volume = 12.61 A^3/atom
Total DFT energy (no corrections) = -35.594 eV per atom
Total moment = 4.27 μB per formula unit
Formation energy = -3.2 kJ/mol of atoms

---

Entry 11:
Compound: LiTlAsSe2
Source: the Alexandria database
Functional: SCAN
Structure: PBEsol geometry

Lattice parameters (Å, degrees): 4.597 4.851 4.851 90.00 90.00 90.00
Atoms (fractional coordinates):
Tl: 0.500 0.500 0.500
As: 0.500 0.000 0.000
Se: 0.000 0.000 0.500
Se: 0.000 0.500 0.000
Li: 0.000 0.000 0.000

Calculated volume = 21.63 A^3/atom
Total DFT energy (no corrections) = -26.816 eV per atom
Formation energy from raw total energies = 0.20 eV per atom
Total moment = 0.00 μB per formula unit